The following is a PBE-GGA calculation of a relaxed structure of Sc2TlAs2, from the Alexandria database.

- relative energy among the computed polymorphs (meV/atom) = 0.0
- ΔE_f (meV/atom) = -747
- space group = P4/mbm, No. 127

POSCAR file:
```
Sc2TlAs2
1.0
7.781 0.000 0.000
0.000 7.781 0.000
0.000 0.000 3.555
Sc Tl As
4 2 4
Cartesian
1.170 5.060 1.778
5.060 6.611 1.778
6.611 2.720 1.778
2.720 1.170 1.778
0.000 0.000 0.000
3.890 3.890 0.000
2.771 6.661 0.000
6.661 5.010 0.000
5.010 1.119 0.000
1.119 2.771 0.000
```

***

The following is a PBE-GGA calculation of a relaxed structure of PmGe2Pt7, from the Alexandria database.

- ΔE_f (meV/atom) = -327
- space group = Cmmm, No. 65

POSCAR file:
```
PmGe2Pt7
1.0
-0.893 4.030 1.845
-4.972 1.218 -5.068
-1.948 -3.239 6.133
Pm Ge Pt
1 2 7
Cartesian
0.000 0.000 0.000
-4.506 1.888 -0.765
-3.307 0.121 3.675
-4.283 0.202 -2.513
-2.638 -2.222 3.578
-1.396 1.118 2.422
-6.417 0.891 0.487
-2.098 2.153 -0.178
-5.715 -0.143 3.087
-3.907 1.005 1.455
```

***

The following is a PBE-GGA calculation of a relaxed structure of CeCdSnPd, from the Alexandria database.

- ΔE_f (meV/atom) = -490
- space group = F-43m, No. 216

POSCAR file:
```
CeCdSnPd
1.0
5.027 0.000 0.000
2.514 4.354 0.000
2.514 1.451 4.105
Pd Sn Ce Cd
1 1 1 1
Cartesian
2.514 1.451 1.026
0.000 0.000 0.000
5.027 2.902 2.052
7.541 4.354 3.079
```